The following is a GGA+U calculation of Ba2DyCoCu2O7 after structural relaxation, from Alexandria via LeMat-Bulk.

Lattice parameters (Å, degrees): 3.860 3.921 11.844 90.00 90.00 90.00
Atoms (fractional coordinates):
Ba: 0.000 0.000 0.184
Ba: 0.000 0.000 0.816
Dy: 0.000 0.000 0.500
Co: 0.500 0.500 0.000
Cu: 0.500 0.500 0.362
Cu: 0.500 0.500 0.638
O: 0.000 0.500 0.380
O: 0.000 0.500 0.620
O: 0.500 0.000 0.000
O: 0.500 0.000 0.379
O: 0.500 0.000 0.621
O: 0.500 0.500 0.152
O: 0.500 0.500 0.848

Uncorrected energy ... -6.22 eV/atom
Space-group type ... Pmmm, No. 47